The following is a DFT calculation (GGA-PBE) of a geometry-optimized Cs3Li2PuCl9 structure.

Cell: 7.5696 7.5696 9.5948 Å, 90.00 90.00 120.00°
Space group P-3m1 (No. 164)
Symmetry-distinct sites (fractional):
Cs  0.0000  0.0000  0.0000
Cs  0.3333  0.6667  0.6915
Li  0.3333  0.6667  0.0873
Pu  0.0000  0.0000  0.5000
Cl  0.0000  0.5000  0.0000
Cl  0.1619  0.3239  0.3437

Its formation energy (no corrections) is -1.881 eV/atom. The value obtained for the total magnetization is 4.000 μB/f.u. The total DFT energy (no corrections) comes out at -4.37 eV per atom. For the volume, the calculation gives 476.1 Å³/f.u. The density of states at the Fermi level comes out at 3.36 states/eV per cell. Its crystal system is trigonal.

The following is a DFT calculation (GGA-PBE) of a geometry-optimized Mn6Ga4N structure.

Cell: 2.651 8.763 12.868 Å, 90.00 90.00 90.00°
Space group Amm2 (No. 38)
Symmetry-distinct sites (fractional):
Mn  0.000  0.000  0.000
Mn  0.000  0.153  0.832
Mn  0.500  0.000  0.365
Mn  0.500  0.237  0.658
Ga  0.000  0.000  0.664
Ga  0.000  0.184  0.491
Ga  0.500  0.000  0.173
N  0.500  0.000  0.888

Its formation energy (no corrections) is 0.166 eV/atom. The value obtained for the total magnetization is 12.604 μB/f.u. The total DFT energy (no corrections) comes out at -6.69 eV per atom. For the volume, the calculation gives 149.5 Å³/f.u. The density of states at the Fermi level comes out at 19.14 states/eV per cell. Its crystal system is orthorhombic.

Q: Among the records above, which one has the lowest formation energy (no corrections)?
A: Cs3Li2PuCl9

Q: Look up the total DFT energy (no corrections) of the first one.
A: -4.37 eV per atom

Q: Which value of formation energy (no corrections) does entry 2 give?
A: 0.166 eV/atom